w:
Density functional theory data (SCAN) for a crystal of Mg2HgW relaxed with PBEsol.

DOS(E_F) in states/eV per atom: 0.301
Space group: F-43m, No. 216

abc: 4.720 4.720 4.720
angles: 60.00 60.00 60.00
Element x y z (fractional)
Mg (0.000, 0.000, 0.000)
Mg (0.250, 0.250, 0.250)
Hg (0.750, 0.750, 0.750)
W (0.500, 0.500, 0.500)


x:
Density functional theory data (SCAN) for a crystal of Mg2HgW relaxed with PBEsol.

DOS(E_F) in states/eV per atom: 0.559
Space group: Imm2, No. 44

abc: 5.777 5.777 5.777
angles: 149.96 130.06 59.38
Element x y z (fractional)
Mg (0.000, 0.000, 0.000)
Mg (0.731, 0.231, 0.500)
Hg (0.488, 0.488, 0.000)
W (0.245, 0.745, 0.500)


y:
Density functional theory data (SCAN) for a crystal of Mg2HgW relaxed with PBEsol.

DOS(E_F) in states/eV per atom: 0.306
Space group: C2/m, No. 12

abc: 5.531 5.531 2.833
angles: 101.13 101.13 116.67
Element x y z (fractional)
Mg (0.000, 0.500, 0.000)
Mg (0.500, 0.000, 0.000)
Hg (0.000, 0.000, 0.500)
W (0.500, 0.500, 0.500)


It comes down to y, which is 112 meV/atom more stable than the next structure.